HoAg3Hg3: relaxed, PBE-GGA.

a b c (Å): 7.575 7.575 7.575
angles (deg): 90.00 90.00 90.00
Element x y z (fractional)
Ho: 0.000 0.000 0.000
Ho: 0.500 0.500 0.500
Ag: 0.000 0.250 0.500
Ag: 0.000 0.750 0.500
Ag: 0.250 0.500 0.000
Ag: 0.500 0.000 0.250
Ag: 0.500 0.000 0.750
Ag: 0.750 0.500 0.000
Hg: 0.000 0.500 0.250
Hg: 0.000 0.500 0.750
Hg: 0.250 0.000 0.500
Hg: 0.500 0.250 0.000
Hg: 0.500 0.750 0.000
Hg: 0.750 0.000 0.500

DFT formation energy	3.77	eV per formula unit
E above lowest polymorph	0.6027	eV/atom
raw total energy	-20.53	eV per cell
SG	Pm-3n (223)